# 1
Compound: Ca2YCd2
Source: Alexandria
Functional: PBE
Structure: relaxed

```
data_Ca2YCd2
_symmetry_space_group_name_H-M 'P 4/m b m'
_symmetry_Int_Tables_number 127
_symmetry_space_group_name_Hall '-P 4 2ab'
_cell_length_a 9.090
_cell_length_b 9.090
_cell_length_c 3.493
_cell_angle_alpha 90.00
_cell_angle_beta 90.00
_cell_angle_gamma 90.00
loop_
_atom_site_label
_atom_site_type_symbol
_atom_site_fract_x
_atom_site_fract_y
_atom_site_fract_z
Ca1 Ca 0.134 0.366 0.000
Y1 Y 0.000 0.000 0.000
Cd1 Cd 0.164 0.664 0.500
```

Results
- Energy above the most stable polymorph in this dataset: 105 meV per atom
- Uncorrected energy: -25.9 eV per cell

# 2
Compound: CaY5Cd3
Source: Alexandria
Functional: PBE
Structure: relaxed

```
data_CaY5Cd3
_symmetry_space_group_name_H-M 'P 63/m c m'
_symmetry_Int_Tables_number 193
_symmetry_space_group_name_Hall '-P 6c 2'
_cell_length_a 9.2485
_cell_length_b 9.2485
_cell_length_c 6.9608
_cell_angle_alpha 90.00
_cell_angle_beta 90.00
_cell_angle_gamma 120.00
loop_
_atom_site_label
_atom_site_type_symbol
_atom_site_fract_x
_atom_site_fract_y
_atom_site_fract_z
Ca1 Ca 0.0000 0.0000 0.0000
Y1 Y 0.0000 0.3321 0.2500
Y2 Y 0.3333 0.6667 0.0000
Cd1 Cd 0.0000 0.3383 0.7500
```

Results
- Uncorrected energy: -77.8 eV per cell

# 3
Compound: CaYCd4
Source: Alexandria
Functional: PBE
Structure: relaxed

```
data_CaYCd4
_symmetry_space_group_name_H-M 'F -4 3 m'
_symmetry_Int_Tables_number 216
_symmetry_space_group_name_Hall 'F -4 2 3'
_cell_length_a 8.425
_cell_length_b 8.425
_cell_length_c 8.425
_cell_angle_alpha 90.00
_cell_angle_beta 90.00
_cell_angle_gamma 90.00
loop_
_atom_site_label
_atom_site_type_symbol
_atom_site_fract_x
_atom_site_fract_y
_atom_site_fract_z
Ca1 Ca 0.000 0.000 0.000
Y1 Y 0.250 0.250 0.250
Cd1 Cd 0.125 0.125 0.625
```

Results
- Energy above the most stable polymorph in this dataset: 48 meV per atom
- Uncorrected energy: -55.4 eV per cell

# 4
Compound: CaYCd4
Source: Alexandria
Functional: PBE
Structure: relaxed

```
data_CaYCd4
_symmetry_space_group_name_H-M 'P m m m'
_symmetry_Int_Tables_number 47
_symmetry_space_group_name_Hall '-P 2 2'
_cell_length_a 3.502
_cell_length_b 5.523
_cell_length_c 8.515
_cell_angle_alpha 90.00
_cell_angle_beta 90.00
_cell_angle_gamma 90.00
loop_
_atom_site_label
_atom_site_type_symbol
_atom_site_fract_x
_atom_site_fract_y
_atom_site_fract_z
Ca1 Ca 0.000 0.000 0.000
Y1 Y 0.500 0.500 0.500
Cd1 Cd 0.000 0.500 0.182
Cd2 Cd 0.500 0.000 0.323
```

Results
- Energy above the most stable polymorph in this dataset: 263 meV per atom
- Uncorrected energy: -12.6 eV per cell

# 5
Compound: CaYCd5
Source: Alexandria
Functional: PBE
Structure: relaxed

```
data_CaYCd5
_symmetry_space_group_name_H-M 'C m m m'
_symmetry_Int_Tables_number 65
_symmetry_space_group_name_Hall '-C 2 2'
_cell_length_a 6.543
_cell_length_b 8.673
_cell_length_c 6.692
_cell_angle_alpha 90.00
_cell_angle_beta 90.00
_cell_angle_gamma 90.00
loop_
_atom_site_label
_atom_site_type_symbol
_atom_site_fract_x
_atom_site_fract_y
_atom_site_fract_z
Ca1 Ca 0.000 0.000 0.000
Y1 Y 0.000 0.500 0.500
Cd1 Cd 0.000 0.500 0.000
Cd2 Cd 0.250 0.250 0.266
```

Results
- Uncorrected energy: -28.0 eV per cell

# 6
Compound: CaY2Cd
Source: Alexandria
Functional: PBE
Structure: relaxed

```
data_CaY2Cd
_symmetry_space_group_name_H-M 'P 4/m m m'
_symmetry_Int_Tables_number 123
_symmetry_space_group_name_Hall '-P 4 2'
_cell_length_a 3.752
_cell_length_b 3.752
_cell_length_c 9.115
_cell_angle_alpha 90.00
_cell_angle_beta 90.00
_cell_angle_gamma 90.00
loop_
_atom_site_label
_atom_site_type_symbol
_atom_site_fract_x
_atom_site_fract_y
_atom_site_fract_z
Ca1 Ca 0.000 0.000 0.000
Y1 Y 0.500 0.500 0.301
Cd1 Cd 0.000 0.000 0.500
```

Results
- Uncorrected energy: -16.2 eV per cell

# 7
Compound: CaY2Cd
Source: Alexandria
Functional: PBE
Structure: relaxed

```
data_CaY2Cd
_symmetry_space_group_name_H-M 'R -3 m'
_symmetry_Int_Tables_number 166
_symmetry_space_group_name_Hall '-R 3 2"'
_cell_length_a 3.6821
_cell_length_b 3.6821
_cell_length_c 33.2278
_cell_angle_alpha 90.00
_cell_angle_beta 90.00
_cell_angle_gamma 120.00
loop_
_atom_site_label
_atom_site_type_symbol
_atom_site_fract_x
_atom_site_fract_y
_atom_site_fract_z
Ca1 Ca 0.0000 0.0000 0.0000
Y1 Y 0.0000 0.0000 0.2395
Cd1 Cd 0.0000 0.0000 0.5000
```

Results
- Uncorrected energy: -47.8 eV per cell

# 8
Compound: Ca2YCd2
Source: Alexandria
Functional: PBE
Structure: relaxed

```
data_Ca2YCd2
_symmetry_space_group_name_H-M 'P 4/m b m'
_symmetry_Int_Tables_number 127
_symmetry_space_group_name_Hall '-P 4 2ab'
_cell_length_a 8.532
_cell_length_b 8.532
_cell_length_c 4.198
_cell_angle_alpha 90.00
_cell_angle_beta 90.00
_cell_angle_gamma 90.00
loop_
_atom_site_label
_atom_site_type_symbol
_atom_site_fract_x
_atom_site_fract_y
_atom_site_fract_z
Ca1 Ca 0.167 0.333 0.000
Y1 Y 0.000 0.000 0.500
Cd1 Cd 0.132 0.632 0.500
```

Results
- Energy above the most stable polymorph in this dataset: 36 meV per atom
- Uncorrected energy: -26.6 eV per cell

# 9
Compound: CaY2Cd
Source: Alexandria
Functional: PBE
Structure: relaxed

```
data_CaY2Cd
_symmetry_space_group_name_H-M 'P 4 m m'
_symmetry_Int_Tables_number 99
_symmetry_space_group_name_Hall 'P 4 -2'
_cell_length_a 3.636
_cell_length_b 3.636
_cell_length_c 9.419
_cell_angle_alpha 90.00
_cell_angle_beta 90.00
_cell_angle_gamma 90.00
loop_
_atom_site_label
_atom_site_type_symbol
_atom_site_fract_x
_atom_site_fract_y
_atom_site_fract_z
Ca1 Ca 0.000 0.000 0.000
Y1 Y 0.000 0.000 0.436
Y2 Y 0.500 0.500 0.696
Cd1 Cd 0.500 0.500 0.226
```

Results
- Uncorrected energy: -16.4 eV per cell

# 10
Compound: CaY3Cd
Source: Alexandria
Functional: PBE
Structure: relaxed

```
data_CaY3Cd
_symmetry_space_group_name_H-M 'P m -3 m'
_symmetry_Int_Tables_number 221
_symmetry_space_group_name_Hall '-P 4 2 3'
_cell_length_a 5.755
_cell_length_b 5.755
_cell_length_c 5.755
_cell_angle_alpha 90.00
_cell_angle_beta 90.00
_cell_angle_gamma 90.00
loop_
_atom_site_label
_atom_site_type_symbol
_atom_site_fract_x
_atom_site_fract_y
_atom_site_fract_z
Ca1 Ca 0.000 0.000 0.000
Y1 Y 0.000 0.500 0.500
Cd1 Cd 0.500 0.500 0.500
```

Results
- Energy above the most stable polymorph in this dataset: 0 meV per atom
- Uncorrected energy: -20.8 eV per cell

# 11
Compound: Ca2YCd3
Source: Alexandria
Functional: PBE
Structure: relaxed

```
data_Ca2YCd3
_symmetry_space_group_name_H-M 'P 4/m m m'
_symmetry_Int_Tables_number 123
_symmetry_space_group_name_Hall '-P 4 2'
_cell_length_a 3.808
_cell_length_b 3.808
_cell_length_c 11.401
_cell_angle_alpha 90.00
_cell_angle_beta 90.00
_cell_angle_gamma 90.00
loop_
_atom_site_label
_atom_site_type_symbol
_atom_site_fract_x
_atom_site_fract_y
_atom_site_fract_z
Ca1 Ca 0.000 0.000 0.169
Y1 Y 0.000 0.000 0.500
Cd1 Cd 0.500 0.500 0.000
Cd2 Cd 0.500 0.500 0.342
```

Results
- Energy above the most stable polymorph in this dataset: 5 meV per atom
- Uncorrected energy: -15.3 eV per cell

# 12
Compound: CaY2Cd6
Source: Alexandria
Functional: PBE
Structure: relaxed

```
data_CaY2Cd6
_symmetry_space_group_name_H-M 'P 6/m m m'
_symmetry_Int_Tables_number 191
_symmetry_space_group_name_Hall '-P 6 2'
_cell_length_a 8.6364
_cell_length_b 8.6364
_cell_length_c 3.4928
_cell_angle_alpha 90.00
_cell_angle_beta 90.00
_cell_angle_gamma 120.00
loop_
_atom_site_label
_atom_site_type_symbol
_atom_site_fract_x
_atom_site_fract_y
_atom_site_fract_z
Ca1 Ca 0.0000 0.0000 0.0000
Y1 Y 0.3333 0.6667 0.0000
Cd1 Cd 0.0000 0.3344 0.5000
```

Results
- Uncorrected energy: -23.4 eV per cell

# 13
Compound: CaY4Cd5
Source: Alexandria
Functional: PBE
Structure: relaxed

```
data_CaY4Cd5
_symmetry_space_group_name_H-M 'P 4/m m m'
_symmetry_Int_Tables_number 123
_symmetry_space_group_name_Hall '-P 4 2'
_cell_length_a 3.761
_cell_length_b 3.761
_cell_length_c 18.903
_cell_angle_alpha 90.00
_cell_angle_beta 90.00
_cell_angle_gamma 90.00
loop_
_atom_site_label
_atom_site_type_symbol
_atom_site_fract_x
_atom_site_fract_y
_atom_site_fract_z
Ca1 Ca 0.000 0.000 0.000
Y1 Y 0.000 0.000 0.203
Y2 Y 0.000 0.000 0.401
Cd1 Cd 0.500 0.500 0.107
Cd2 Cd 0.500 0.500 0.302
Cd3 Cd 0.500 0.500 0.500
```

Results
- Uncorrected energy: -36.0 eV per cell

| no. | density (Mg/m³) | formation energy (meV/atom) |
| --- | --- | --- |
| 1 | 4.53 | -135 |
| 2 | 5.29 | -203 |
| 3 | 6.43 | -288 |
| 4 | 5.83 | -73 |
| 5 | 6.04 | -137 |
| 6 | 4.27 | -92 |
| 7 | 4.22 | -24 |
| 8 | 4.28 | -205 |
| 9 | 4.40 | -134 |
| 10 | 3.65 | 293 |
| 11 | 5.09 | -355 |
| 12 | 6.57 | -334 |
| 13 | 5.95 | -358 |